[1]
# TbPr5NdTm2

A relaxed TbPr5NdTm2 crystal (PBE, the Alexandria database).

Calculated formation energy, kJ/mol of formula units: 126
N(E_F), states/eV per cell: 28.37
E, Ha/atom: -0.16713
SG: Cmc2_1 (36)

a = 5.6879 Å, b = 10.6618 Å, c = 10.8157 Å
α = 90.00°, β = 90.00°, γ = 105.47°
Last column: nearest neighbours and their distance in Å.
Sites, in units of the cell vectors:
Tm 0.8897 0.7794 0.2404  1 Nd 3.45, 7 Pr 3.51-3.82, 2 Tb 3.71
Pr 0.7046 0.4093 0.2028  3 Pr 3.45-3.82, 3 Nd 3.53-3.85, 1 Tb 3.55, 3 Tm 3.58-3.82
Tm 0.1103 0.2206 0.7404  1 Nd 3.45, 7 Pr 3.51-3.82, 2 Tb 3.71
Pr 0.2811 0.5623 0.3100  1 Tb 3.10, 1 Tm 3.39, 2 Pr 3.45
Pr 0.0157 0.0314 0.0211  2 Tb 3.30, 3 Tm 3.51-3.61
Pr 0.3891 0.7783 0.0249  6 Pr 3.57-3.98, 4 Tm 3.65-3.68, 1 Nd 3.88
Pr 0.6109 0.2217 0.5249  6 Pr 3.57-3.98, 4 Tm 3.65-3.68, 1 Nd 3.88
Nd 0.2004 0.4008 0.0096  2 Tm 3.45-3.72, 7 Pr 3.53-3.85, 2 Tb 3.68
Tm 0.8838 0.7676 0.8142  9 Pr 3.39-3.78, 1 Nd 3.72
Nd 0.7996 0.5992 0.5096  2 Tm 3.45-3.72, 7 Pr 3.53-3.85, 2 Tb 3.68
Tb 0.5898 0.1796 0.9579  5 Pr 3.10-3.41
Pr 0.9843 0.9686 0.5211  2 Tb 3.30, 3 Tm 3.51-3.61
Pr 0.7189 0.4377 0.8100  1 Tb 3.10, 1 Tm 3.39, 2 Pr 3.45
Tm 0.1162 0.2324 0.3142  9 Pr 3.39-3.78, 1 Nd 3.72
Pr 0.4803 0.9605 0.7431  2 Tb 3.23-3.41, 2 Tm 3.55, 2 Pr 3.57-3.58
Tb 0.4102 0.8204 0.4579  5 Pr 3.10-3.41
Pr 0.5197 0.0395 0.2431  2 Tb 3.23-3.41, 2 Tm 3.55, 2 Pr 3.57-3.58
Pr 0.2954 0.5907 0.7028  3 Pr 3.45-3.82, 3 Nd 3.53-3.85, 1 Tb 3.55, 3 Tm 3.58-3.82

=====

[2]
# Pm4Te3Rh

A relaxed Pm4Te3Rh crystal (PBE, the Alexandria database).

N(E_F), states/eV per cell: 6.85
E_form (uncorrected), eV per atom: -1.213
E, Ha/atom: -0.20895
SG: Cmmm (65)

a = 4.3015 Å, b = 7.7321 Å, c = 7.7321 Å
α = 108.37°, β = 90.00°, γ = 90.00°
Last column: nearest neighbours and their distance in Å.
Sites, in units of the cell vectors:
Te 0.0000 0.0000 0.5000  6 Pm 3.13-3.15
Te 0.5000 0.5000 0.5000  6 Pm 3.34-3.37
Pm 0.5000 0.7663 0.2337  1 Rh 2.93, 4 Te 3.13
Rh 0.5000 0.0000 0.0000  6 Pm 2.89-2.93
Te 0.0000 0.5000 0.0000  6 Pm 3.13-3.15
Pm 0.0000 0.2138 0.2138  2 Rh 2.89, 2 Te 3.15
Pm 0.5000 0.2337 0.7663  1 Rh 2.93, 4 Te 3.13
Pm 0.0000 0.7862 0.7862  2 Rh 2.89, 2 Te 3.15

=====

[3]
# Y2FeOs

A relaxed Y2FeOs crystal (PBE, the Alexandria database).

Calculated formation energy, kJ/mol of formula units: 24
N(E_F), states/eV per cell: 5.10
E, Ha/atom: -0.29738
SG: P4/mmm (123)

a = 3.4143 Å, b = 3.4130 Å, c = 7.8166 Å
α = 64.08°, β = 90.00°, γ = 90.00°
Last column: nearest neighbours and their distance in Å.
Sites, in units of the cell vectors:
Fe 0.5000 0.2500 0.2500  8 Y 3.03
Os 0.5000 0.7500 0.7500  8 Y 2.94
Y 0.0000 0.0103 0.9896  4 Os 2.94, 4 Fe 3.03
Y 0.0000 0.4897 0.5104  4 Os 2.94, 4 Fe 3.03

=====

[4]
# Mo3P

A relaxed Mo3P crystal (PBE, the Alexandria database).

Calculated formation energy, kJ/mol of formula units: -5
N(E_F), states/eV per cell: 2.40
Offset from the most stable computed form, eV per atom: 0.3493
E, Ha/atom: -0.34868
SG: Pmmm (47)

a = 2.9805 Å, b = 4.0809 Å, c = 4.9629 Å
α = 90.00°, β = 90.00°, γ = 90.00°
Last column: nearest neighbours and their distance in Å.
Sites, in units of the cell vectors:
Mo 0.0000 0.0000 0.5000  2 P 2.48
Mo 0.5000 0.5000 0.2405  2 Mo 2.39-2.58
P 0.0000 0.0000 0.0000  2 Mo 2.48
Mo 0.5000 0.5000 0.7595  2 Mo 2.39-2.58

=====

[5]
# AlCoNi2

A relaxed AlCoNi2 crystal (PBE, the Alexandria database).

Calculated formation energy, kJ/mol of formula units: -103
N(E_F), states/eV per cell: 3.54
E, Ha/atom: -0.21573
SG: Cm (8)

a = 4.3719 Å, b = 4.3719 Å, c = 4.3160 Å
α = 78.31°, β = 78.31°, γ = 34.59°
Last column: nearest neighbours and their distance in Å.
Sites, in units of the cell vectors:
Ni 0.7522 0.7522 0.7469  4 Co 2.47-2.57, 3 Al 2.48-2.53, 5 Ni 2.54-2.60
Co 0.2490 0.2490 0.2355  7 Ni 2.47-2.57, 3 Al 2.52-2.61, 2 Co 2.60
Al 0.5003 0.5003 0.5080  7 Ni 2.48-2.53, 3 Co 2.52-2.61, 2 Al 2.60
Ni 0.9985 0.9985 0.0096  3 Co 2.47-2.49, 4 Al 2.52, 5 Ni 2.54-2.60

=====

[6]
# CuPd5W

A relaxed CuPd5W crystal (PBE, the Alexandria database).

Calculated formation energy, kJ/mol of formula units: 116
N(E_F), states/eV per cell: 9.10
E, Ha/atom: -0.21949
SG: C2/c (15)

a = 7.6928 Å, b = 7.6928 Å, c = 6.8343 Å
α = 50.59°, β = 50.59°, γ = 78.34°
Last column: nearest neighbours and their distance in Å.
Sites, in units of the cell vectors:
Pd 0.8070 0.1930 0.2500  1 W 2.51, 2 Cu 2.54, 4 Pd 2.66-2.76
Pd 0.5377 0.2027 0.1086  2 W 2.57-2.67, 6 Pd 2.66-2.85
Pd 0.1930 0.8070 0.7500  1 W 2.51, 2 Cu 2.54, 4 Pd 2.66-2.76
W 0.5484 0.4516 0.2500  9 Pd 2.51-2.69
Pd 0.4623 0.7973 0.8914  2 W 2.57-2.67, 6 Pd 2.66-2.85
W 0.4516 0.5484 0.7500  9 Pd 2.51-2.69
Pd 0.8543 0.6612 0.5925  2 Cu 2.54-2.58, 2 W 2.68-2.69, 3 Pd 2.70-2.82
Pd 0.3388 0.1457 0.9075  2 Cu 2.54-2.58, 2 W 2.68-2.69, 3 Pd 2.70-2.82
Cu 0.0000 0.0000 0.5000  6 Pd 2.54-2.58
Pd 0.6612 0.8543 0.0925  2 Cu 2.54-2.58, 2 W 2.68-2.69, 3 Pd 2.70-2.82
Pd 0.2027 0.5377 0.6086  2 W 2.57-2.67, 6 Pd 2.66-2.85
Pd 0.1457 0.3388 0.4075  2 Cu 2.54-2.58, 2 W 2.68-2.69, 3 Pd 2.70-2.82
Cu 0.0000 0.0000 0.0000  6 Pd 2.54-2.58
Pd 0.7973 0.4623 0.3914  2 W 2.57-2.67, 6 Pd 2.66-2.85

=====

[7]
# LiCdHg2Pb2

A relaxed LiCdHg2Pb2 crystal (PBE, the Alexandria database).

Calculated formation energy, kJ/mol of formula units: -50
N(E_F), states/eV per cell: 4.57
E, Ha/atom: -0.06960
SG: Pmc2_1 (26)

a = 4.5172 Å, b = 6.9555 Å, c = 9.7371 Å
α = 90.00°, β = 90.00°, γ = 90.00°
Last column: nearest neighbours and their distance in Å.
Sites, in units of the cell vectors:
Cd 0.0000 0.8991 0.4921  5 Hg 3.00-3.15, 1 Pb 3.15, 2 Li 3.20
Hg 0.5000 0.1429 0.3769  1 Li 2.87, 4 Cd 3.04-3.15
Hg 0.0000 0.8555 0.1858  2 Li 2.96, 1 Cd 3.00, 2 Pb 3.31
Li 0.5000 0.1663 0.6716  3 Hg 2.87-2.96, 2 Cd 3.20
Pb 0.5000 0.6081 0.9857  5 Hg 3.31-3.54, 6 Pb 3.36-3.49, 1 Li 3.36
Cd 0.0000 0.3991 0.5079  5 Hg 3.00-3.15, 1 Pb 3.15, 2 Li 3.20
Hg 0.0000 0.3555 0.8142  2 Li 2.96, 1 Cd 3.00, 2 Pb 3.31
Pb 0.0000 0.3738 0.1851  1 Cd 3.15, 3 Hg 3.34-3.35, 2 Li 3.34, 4 Pb 3.36-3.39
Pb 0.5000 0.1081 0.0143  5 Hg 3.31-3.54, 6 Pb 3.36-3.49, 1 Li 3.36
Hg 0.5000 0.6429 0.6231  1 Li 2.87, 4 Cd 3.04-3.15
Li 0.5000 0.6663 0.3284  3 Hg 2.87-2.96, 2 Cd 3.20
Pb 0.0000 0.8738 0.8149  1 Cd 3.15, 3 Hg 3.34-3.35, 2 Li 3.34, 4 Pb 3.36-3.39

=====

[8]
# Th2ZnAu

A relaxed Th2ZnAu crystal (PBE, the Alexandria database).

Calculated formation energy, kJ/mol of formula units: -154
N(E_F), states/eV per cell: 3.49
E, Ha/atom: -0.19282
SG: Amm2 (38)

a = 4.4854 Å, b = 3.7758 Å, c = 6.3006 Å
α = 107.44°, β = 90.00°, γ = 90.00°
Last column: nearest neighbours and their distance in Å.
Sites, in units of the cell vectors:
Zn 0.5000 0.5564 0.1128  2 Au 2.76
Th 0.0000 0.9710 0.9420  4 Zn 3.11, 3 Au 3.25-3.37
Th 0.5000 0.2810 0.5621  4 Au 3.13, 3 Zn 3.30-3.31
Au 0.0000 0.6908 0.3817  2 Zn 2.76